# SCAN BaCaPt3, single point on PBEsol structure
# Energy ... -258.68 eV per cell
# Total magnetization ... 0.00 μB per cell
# ΔE_f ... 0.223 eV/atom
# D(E_F) ... 3.86 states/eV per cell
data_BaCaPt3
_chemical_formula_sum 'Ba1 Ca1 Pt3'
_cell_length_a 5.0653
_cell_length_b 5.0653
_cell_length_c 5.0653
_cell_angle_alpha 90.00
_cell_angle_beta 90.00
_cell_angle_gamma 90.00
_space_group_name_H-M_alt 'P 1'
_space_group_IT_number 1
loop_
_space_group_symop_operation_xyz
'x,y,z'
loop_
_atom_site_label
_atom_site_fract_x
_atom_site_fract_y
_atom_site_fract_z
Pt1 0.0000 0.5000 0.0000
Pt2 0.5000 0.0000 0.0000
Pt3 0.0000 0.0000 0.5000
Ca1 0.0000 0.0000 0.0000
Ba1 0.5000 0.5000 0.5000

=====

# SCAN Ba2CaPt2, single point on PBEsol structure
# Energy ... -465.84 eV per cell
# Total magnetization ... 0.00 μB per cell
# ΔE_f ... -0.754 eV/atom
# D(E_F) ... 2.99 states/eV per cell
data_Ba2CaPt2
_chemical_formula_sum 'Ba4 Ca2 Pt4'
_cell_length_a 4.5517
_cell_length_b 8.0003
_cell_length_c 8.0003
_cell_angle_alpha 90.00
_cell_angle_beta 90.00
_cell_angle_gamma 90.00
_space_group_name_H-M_alt 'P 1'
_space_group_IT_number 1
loop_
_space_group_symop_operation_xyz
'x,y,z'
loop_
_atom_site_label
_atom_site_fract_x
_atom_site_fract_y
_atom_site_fract_z
Pt1 0.0000 0.3713 0.8713
Pt2 0.0000 0.6287 0.1287
Pt3 0.0000 0.1287 0.3713
Pt4 0.0000 0.8713 0.6287
Ba1 0.5000 0.1655 0.6655
Ba2 0.5000 0.3345 0.1655
Ba3 0.5000 0.8345 0.3345
Ba4 0.5000 0.6655 0.8345
Ca1 0.0000 0.0000 0.0000
Ca2 0.0000 0.5000 0.5000

=====

# SCAN RbBaCa3, single point on PBEsol structure
# Energy ... -85.97 eV per cell
# Total magnetization ... 3.16 μB per cell
# ΔE_f ... 0.661 eV/atom
# D(E_F) ... 2.75 states/eV per cell
data_RbBaCa3
_chemical_formula_sum 'Rb1 Ba1 Ca3'
_cell_length_a 6.6724
_cell_length_b 6.6724
_cell_length_c 6.6724
_cell_angle_alpha 90.00
_cell_angle_beta 90.00
_cell_angle_gamma 90.00
_space_group_name_H-M_alt 'P 1'
_space_group_IT_number 1
loop_
_space_group_symop_operation_xyz
'x,y,z'
loop_
_atom_site_label
_atom_site_fract_x
_atom_site_fract_y
_atom_site_fract_z
Ca1 0.0000 0.5000 0.0000
Ca2 0.0000 0.0000 0.5000
Ca3 0.5000 0.0000 0.0000
Ba1 0.0000 0.0000 0.0000
Rb1 0.5000 0.5000 0.5000

=====

# SCAN BaCaRh, single point on PBEsol structure
# Energy ... -81.83 eV per cell
# Total magnetization ... 0.00 μB per cell
# ΔE_f ... 0.386 eV/atom
# D(E_F) ... 2.67 states/eV per cell
data_BaCaRh
_chemical_formula_sum 'Ba1 Ca1 Rh1'
_cell_length_a 4.9295
_cell_length_b 4.9295
_cell_length_c 4.9295
_cell_angle_alpha 60.00
_cell_angle_beta 60.00
_cell_angle_gamma 60.00
_space_group_name_H-M_alt 'P 1'
_space_group_IT_number 1
loop_
_space_group_symop_operation_xyz
'x,y,z'
loop_
_atom_site_label
_atom_site_fract_x
_atom_site_fract_y
_atom_site_fract_z
Ca1 0.2500 0.2500 0.2500
Rh1 0.0000 0.0000 0.0000
Ba1 0.5000 0.5000 0.5000

=====

# SCAN BaCa2Rh, single point on PBEsol structure
# Energy ... -93.28 eV per cell
# Total magnetization ... 0.33 μB per cell
# ΔE_f ... -0.157 eV/atom
# D(E_F) ... 3.58 states/eV per cell
data_BaCa2Rh
_chemical_formula_sum 'Ba1 Ca2 Rh1'
_cell_length_a 3.5243
_cell_length_b 3.5243
_cell_length_c 10.1135
_cell_angle_alpha 90.00
_cell_angle_beta 90.00
_cell_angle_gamma 90.00
_space_group_name_H-M_alt 'P 1'
_space_group_IT_number 1
loop_
_space_group_symop_operation_xyz
'x,y,z'
loop_
_atom_site_label
_atom_site_fract_x
_atom_site_fract_y
_atom_site_fract_z
Rh1 0.5000 0.5000 0.0000
Ba1 0.5000 0.5000 0.5000
Ca1 0.0000 0.0000 0.8411
Ca2 0.0000 0.0000 0.1589

=====

# SCAN BaCaRh4, single point on PBEsol structure
# Energy ... -185.58 eV per cell
# Total magnetization ... 0.00 μB per cell
# ΔE_f ... -0.213 eV/atom
# D(E_F) ... 7.10 states/eV per cell
data_BaCaRh4
_chemical_formula_sum 'Ba1 Ca1 Rh4'
_cell_length_a 5.3897
_cell_length_b 5.3897
_cell_length_c 5.3897
_cell_angle_alpha 60.00
_cell_angle_beta 60.00
_cell_angle_gamma 60.00
_space_group_name_H-M_alt 'P 1'
_space_group_IT_number 1
loop_
_space_group_symop_operation_xyz
'x,y,z'
loop_
_atom_site_label
_atom_site_fract_x
_atom_site_fract_y
_atom_site_fract_z
Rh1 0.6256 0.1233 0.6256
Rh2 0.6256 0.6256 0.1233
Rh3 0.1233 0.6256 0.6256
Rh4 0.6256 0.6256 0.6256
Ca1 0.0000 0.0000 0.0000
Ba1 0.2500 0.2500 0.2500